(1)
Material: CsReP2F
Method: DFT, GGA-PBE
State: relaxed

The structure in POSCAR format:
```
CsReP2F
1.0
4.4764 0.0000 0.0000
0.0000 7.6121 0.0000
0.0000 0.0000 4.4764
P Cs Re F
2 1 1 1
direct
0.5000 0.0000 0.0000
0.0000 0.0000 0.5000
0.0000 0.5000 0.0000
0.0000 0.0000 0.0000
0.5000 0.5000 0.5000
```

Properties
- Symmetry: P4/mmm
- Calculated volume: 30.51 Å³/atom
- Density of states at the Fermi level: 3.8 states/eV per cell
- ΔE_f (raw): -1.6 eV/f.u.

=====

(2)
Material: Cs2PRhF6
Method: DFT, GGA-PBE
State: relaxed

The structure in POSCAR format:
```
Cs2PRhF6
1.0
-0.2632 -4.2338 -4.6835
5.9002 1.5030 -1.6903
4.4056 -4.5047 -0.4382
F Cs Rh P
6 2 1 1
direct
0.7229 0.2771 0.0000
0.2766 0.2766 0.4469
0.7234 0.7234 0.5531
0.7229 0.7229 0.0000
0.2771 0.2771 0.0000
0.2771 0.7229 0.0000
0.7500 0.2500 0.5000
0.2500 0.7500 0.5000
0.0000 0.0000 0.0000
0.5000 0.5000 0.0000
```

Properties
- Symmetry: I4/mmm
- Calculated volume: 17.83 Å³/atom
- Density of states at the Fermi level: 0.0 states/eV per cell
- ΔE_f (raw): -18.8 eV/f.u.

=====

(3)
Material: Cs2PRuF6
Method: DFT, GGA-PBE
State: relaxed

The structure in POSCAR format:
```
Cs2PRuF6
1.0
5.7965 0.0000 0.0000
0.0000 5.7965 0.0000
2.8983 2.8983 5.6803
F P Cs Ru
6 1 2 1
direct
0.8188 0.8188 0.3623
0.1812 0.1812 0.6377
0.7422 0.2578 0.0000
0.2578 0.7422 0.0000
0.7422 0.7422 0.0000
0.2578 0.2578 0.0000
0.5000 0.5000 0.0000
0.2500 0.7500 0.5000
0.7500 0.2500 0.5000
0.0000 0.0000 0.0000
```

Properties
- Symmetry: I4/mmm
- Calculated volume: 19.09 Å³/atom
- Density of states at the Fermi level: 22.6 states/eV per cell
- ΔE_f (raw): -18.1 eV/f.u.

=====

(4)
Material: Cs5PS4F2
Method: DFT, GGA-PBE
State: relaxed

The structure in POSCAR format:
```
Cs5PS4F2
1.0
7.8344 0.0000 0.0000
-3.9172 6.2404 0.0000
0.0000 0.0000 8.9904
S P Cs F
4 1 5 2
direct
0.3893 0.2640 0.0000
0.5704 0.0000 0.1865
0.5704 0.0000 0.8135
0.1253 0.7360 0.0000
0.4159 0.0000 0.0000
0.1123 0.3949 0.2628
0.7174 0.6051 0.7372
0.1123 0.3949 0.7372
0.3230 0.0000 0.5000
0.7174 0.6051 0.2628
0.9645 0.5772 0.5000
0.3873 0.4228 0.5000
```

Properties
- Symmetry: Amm2
- Calculated volume: 36.63 Å³/atom
- Density of states at the Fermi level: 0.0 states/eV per cell
- ΔE_f (raw): -18.2 eV/f.u.